A relaxed Pu8SbPt5 crystal. Source: the Alexandria database, functional PBE. Values from VASP.

Quantum ESPRESSO input file:
```
&SYSTEM
  ibrav = 0, nat = 14, ntyp = 3
/
ATOMIC_SPECIES
Pu 244.00 Pu.upf
Sb 121.76 Sb.upf
Pt 195.08 Pt.upf
CELL_PARAMETERS angstrom
-4.418 4.418 4.366
4.418 -4.418 4.366
4.418 4.418 -4.366
ATOMIC_POSITIONS angstrom
Pu 3.779 1.439 -0.491
Pu 1.629 -0.668 1.662
Pu 2.789 5.087 -2.704
Pu 2.980 -0.640 4.858
Pu 3.750 2.789 2.704
Pu 1.439 5.058 0.491
Pu 0.640 2.980 3.875
Pu 0.668 1.629 7.070
Sb 0.000 0.000 4.366
Pt 4.418 0.000 2.183
Pt 1.131 2.178 1.130
Pt -2.240 3.288 3.237
Pt -1.131 6.659 1.130
Pt 2.240 5.549 3.237
```

Properties
Fermi-level density of states = 4.704 states/eV per atom
formation energy (no corrections) = -0.631 eV/atom